# GGA-PBE LiPm5Dy4, optimized geometry
data_LiPm5Dy4
_chemical_formula_sum 'Li1 Pm5 Dy4'
_space_group_name_H-M_alt 'P 4/m m m'
_space_group_IT_number 123
_space_group_name_Hall '-P 4 2'
_cell_length_a 3.611
_cell_length_b 3.611
_cell_length_c 24.397
_cell_angle_alpha 90.00
_cell_angle_beta 90.00
_cell_angle_gamma 90.00
loop_
_atom_site_label
_atom_site_type_symbol
_atom_site_fract_x
_atom_site_fract_y
_atom_site_fract_z
Li1 Li 0.000 0.000 0.000
Pm1 Pm 0.500 0.500 0.087
Pm2 Pm 0.500 0.500 0.293
Pm3 Pm 0.500 0.500 0.500
Dy1 Dy 0.000 0.000 0.189
Dy2 Dy 0.000 0.000 0.396
# Formation enthalpy at 0 K: 0.03 eV/atom
# Density of states at the Fermi level: 1.37 states/eV per atom
# Mass density: 7.213 g/cm³
# E: -43.73 eV/cell